1.
First-principles (GGA-PBE) data for a geometry-optimized Zr4ZnCd structure, as listed in the Alexandria database.

abc: 5.173 7.076 7.076
angles: 90.00 90.00 90.00
Fractional positions:
1 Zr 0.000 0.842 0.359
2 Zr 0.500 0.359 0.842
3 Zr 0.000 0.359 0.158
4 Zr 0.000 0.158 0.641
5 Zr 0.500 0.158 0.359
6 Zr 0.500 0.641 0.158
7 Zr 0.500 0.842 0.641
8 Zr 0.000 0.641 0.842
9 Cd 0.250 0.000 0.000
10 Cd 0.750 0.000 0.000
11 Zn 0.750 0.500 0.500
12 Zn 0.250 0.500 0.500

## Properties
- energy of formation (meV/atom) = -41.9
- polymorph energy (0 for the lowest one) (meV per atom) = 99.3



2.
First-principles (GGA-PBE) data for a geometry-optimized GeTeN3 structure, as listed in the Alexandria database.

abc: 3.839 3.839 3.839
angles: 90.00 90.00 90.00
Fractional positions:
1 Te 0.500 0.500 0.500
2 Ge 0.000 0.000 0.000
3 N 0.000 0.000 0.500
4 N 0.500 0.000 0.000
5 N 0.000 0.500 0.000



3.
First-principles (GGA-PBE) data for a geometry-optimized InSIO2 structure, as listed in the Alexandria database.

abc: 4.038 4.038 7.896
angles: 90.00 90.00 90.00
Each line ends with the local moment (μB).
Fractional positions:
1 I 0.000 0.000 0.500  0.00
2 S 0.500 0.500 0.500  0.00
3 O 0.000 0.500 0.000  0.40
4 O 0.500 0.000 0.000  0.40
5 In 0.000 0.000 0.000  -0.03



4.
First-principles (GGA-PBE) data for a geometry-optimized Ce4TlCd structure, as listed in the Alexandria database.

abc: 5.233 6.226 6.226
angles: 99.31 65.03 65.03
Each line ends with the local moment (μB).
Fractional positions:
1 Ce 0.766 0.932 0.578  0.49
2 Ce 0.234 0.422 0.068  0.49
3 Ce 0.766 0.578 0.932  0.49
4 Ce 0.234 0.068 0.422  0.49
5 Cd 0.000 0.000 0.000  0.00
6 Tl 0.500 0.500 0.500  0.00

## Properties
- energy of formation (meV/atom) = -101.0
- polymorph energy (0 for the lowest one) (meV per atom) = 0.0



Record order is preserved below.
Final energy: -6.11, -5.19, -3.68, -4.60 eV per atom